Record 1
A relaxed structure of Cu3Tc, computed with GGA-PBE.

## Properties
magnetic moment: 0.07 μB per formula unit
DFT formation energy: 0.90 eV/f.u.
space group: C2/m
D(E_F): 3.67 states/eV per cell

extended XYZ file:
```
4
Lattice="-1.666 1.881 0.194 -3.564 -1.204 -2.556 -1.485 -1.739 4.106" Properties=species:S:1:pos:R:3 pbc="T T T"
Cu -5.035 -2.930 1.541
Cu -1.589 0.058 2.159
Cu -4.145 -0.495 1.947
Tc -2.570 -0.567 -0.203
```

=====

Record 2
A relaxed structure of ReAu3O, computed with GGA-PBE.

## Properties
formation energy without anion corrections: 43.31 kcal/mol of atoms
magnetic moment: 0.00 μB per formula unit
space group: Pm-3m
D(E_F): 6.62 states/eV per cell
offset from the most stable computed form: 692 meV/atom

extended XYZ file:
```
5
Lattice="5.005 0.000 0.000 0.000 5.005 0.000 0.000 0.000 5.005" Properties=species:S:1:pos:R:3 pbc="T T T"
Au 0.000 0.000 2.503
Au 2.503 0.000 0.000
Au 0.000 2.503 0.000
Re 0.000 0.000 0.000
O 2.503 2.503 2.503
```

=====

Record 3
A relaxed structure of UGaMo2, computed with GGA-PBE.

## Properties
magnetic moment: 0.00 μB per formula unit
DFT formation energy: 1.66 eV/f.u.
space group: R-3m
D(E_F): 5.73 states/eV per cell
offset from the most stable computed form: 453 meV/atom

extended XYZ file:
```
4
Lattice="-1.195 -2.387 1.099 0.455 -2.556 -1.264 7.556 -3.001 5.490" Properties=species:S:1:pos:R:3 pbc="T T T"
Ga 3.408 -3.972 2.663
Mo 1.399 -5.314 1.355
Mo 5.417 -2.630 3.970
U 0.000 0.000 0.000
```

=====

Record 4
A relaxed structure of Be2CuAu, computed with GGA-PBE.

## Properties
magnetic moment: 0.00 μB per formula unit
DFT formation energy: -0.25 eV/f.u.
space group: Cm
D(E_F): 0.73 states/eV per cell

extended XYZ file:
```
4
Lattice="4.489 0.022 -0.019 3.590 2.695 -0.019 1.201 0.404 3.866" Properties=species:S:1:pos:R:3 pbc="T T T"
Au 2.368 0.797 0.762
Be 6.832 2.298 2.744
Be 0.116 0.039 0.096
Cu 4.603 1.548 2.140
```

=====

Record 5
A relaxed structure of Er6Os2Pb, computed with GGA-PBE.

## Properties
magnetic moment: 0.00 μB per formula unit
DFT formation energy: -3.12 eV/f.u.
space group: Immm
D(E_F): 16.85 states/eV per cell

extended XYZ file:
```
18
Lattice="-3.100 -0.454 -7.877 7.833 3.233 0.242 0.755 -7.705 3.454" Properties=species:S:1:pos:R:3 pbc="T T T"
Er 6.007 -5.145 1.851
Er 2.962 0.486 -6.295
Er -1.730 -2.807 -4.264
Er 1.159 -4.311 -3.021
Er 7.218 -2.120 0.084
Er 4.584 -4.204 -1.206
Er 0.904 -0.722 -2.975
Er 1.573 -2.836 -0.057
Er -0.519 0.218 -6.032
Er 3.915 -2.091 -4.124
Er 2.526 -5.412 2.114
Er 4.329 -0.615 -1.160
Os 3.411 0.845 -3.368
Os 2.076 -5.772 -0.813
Os -1.558 -5.421 -2.939
Os -0.787 -2.738 -1.484
Pb 0.000 0.000 0.000
Pb 4.294 -2.236 1.848
```

=====

Record 6
A relaxed structure of YVSb2Te, computed with GGA-PBE.

## Properties
formation energy without anion corrections: -0.21 kcal/mol of atoms
magnetic moment: 1.04 μB per formula unit
space group: P4/mmm
D(E_F): 4.16 states/eV per cell
offset from the most stable computed form: 0 meV/atom

extended XYZ file:
```
5
Lattice="5.026 0.000 0.000 0.000 5.026 0.000 0.000 0.000 5.682" Properties=species:S:1:pos:R:3 pbc="T T T"
Y 2.513 2.513 2.841
Sb 2.513 0.000 0.000
Sb 0.000 2.513 0.000
V 0.000 0.000 0.000
Te 0.000 0.000 2.841
```

=====

Record 7
A relaxed structure of AsIrSe2, computed with GGA-PBE.

## Properties
formation energy without anion corrections: 11.40 kcal/mol of atoms
magnetic moment: 0.00 μB per formula unit
space group: Cmmm
D(E_F): 3.37 states/eV per cell

extended XYZ file:
```
4
Lattice="2.946 0.030 0.000 -1.571 2.493 0.000 0.000 0.000 10.486" Properties=species:S:1:pos:R:3 pbc="T T T"
As 0.687 1.261 2.621
Ir 0.687 1.261 7.864
Se 0.000 0.000 10.007
Se 0.000 0.000 5.722
```

=====

Record 8
A relaxed structure of PmHfGeRh, computed with GGA-PBE.

## Properties
magnetic moment: 0.00 μB per formula unit
DFT formation energy: -1.92 eV/f.u.
space group: F-43m
D(E_F): 3.86 states/eV per cell

extended XYZ file:
```
4
Lattice="4.880 0.000 0.000 2.440 4.226 0.000 2.440 1.409 3.984" Properties=species:S:1:pos:R:3 pbc="T T T"
Pm 0.000 0.000 0.000
Rh 7.320 4.226 2.988
Ge 2.440 1.409 0.996
Hf 4.880 2.817 1.992
```